# Ga3Ir2Ru

Crystalline Ga3Ir2Ru at its relaxed geometry (PBE, the Alexandria database).

Computed properties:
As for the volume: 14.1 Å³/atom. Its electronic total energy is -6.430 eV per atom. The value obtained for the magnetization is 0.00 μB/cell. The value obtained for the formation energy is -0.42 eV per atom.

Unit cell a=4.300 b=12.896 c=6.103 alpha=90.00 beta=90.00 gamma=90.00
Space group Cmmm (No. 65)
One atom of each set of equivalent atoms:
Ga 0.000 0.000 0.245
Ga 0.000 0.331 0.243
Ir 0.000 0.165 0.500
Ir 0.000 0.500 0.000
Ir 0.000 0.500 0.500
Ru 0.000 0.165 0.000

# GaIr3Ru

Crystalline GaIr3Ru at its relaxed geometry (PBE, the Alexandria database).

Computed properties:
As for the volume: 21.1 Å³/atom. The polymorph energy (0 for the lowest one) comes out at 48.2 kJ/mol of formula units. Its electronic total energy is -6.104 eV per atom. The value obtained for the magnetization is 0.00 μB/cell. The value obtained for the formation energy is 1.67 eV per atom.

Unit cell a=4.728 b=4.728 c=4.728 alpha=90.00 beta=90.00 gamma=90.00
Space group Pm-3m (No. 221)
One atom of each set of equivalent atoms:
Ga 0.000 0.000 0.000
Ir 0.000 0.500 0.500
Ru 0.500 0.500 0.500

# Ga3IrRu2

Crystalline Ga3IrRu2 at its relaxed geometry (PBE, the Alexandria database).

Computed properties:
As for the volume: 14.0 Å³/atom. Its electronic total energy is -6.439 eV per atom. The value obtained for the magnetization is 0.00 μB/cell. The value obtained for the formation energy is -0.36 eV per atom.

Unit cell a=3.032 b=3.032 c=9.135 alpha=90.00 beta=90.00 gamma=90.00
Space group P4/mmm (No. 123)
One atom of each set of equivalent atoms:
Ga 0.000 0.000 0.000
Ga 0.000 0.000 0.328
Ir 0.500 0.500 0.500
Ru 0.500 0.500 0.166